Density functional theory data (PBE+U) for a relaxed structure of MgP2W2O10.

```
data_MgP2W2O10
_chemical_formula_sum 'Mg8 P16 W16 O80'
_cell_length_a 12.6090
_cell_length_b 16.3362
_cell_length_c 7.4457
_cell_angle_alpha 90.00
_cell_angle_beta 90.00
_cell_angle_gamma 90.00
_symmetry_space_group_name_H-M 'F d d 2'
_symmetry_Int_Tables_number 43
_symmetry_space_group_name_Hall 'F 2 -2d'
loop_
_atom_site_label
_atom_site_type_symbol
_atom_site_fract_x
_atom_site_fract_y
_atom_site_fract_z
Mg1 Mg 0.0000 0.0000 0.0000
P1 P 0.0005 0.2050 0.7408
W1 W 0.1102 0.1132 0.3684
O1 O 0.0069 0.1510 0.5729
O2 O 0.0087 0.4200 0.7119
O3 O 0.0215 0.3503 0.4050
O4 O 0.0955 0.2328 0.2284
O5 O 0.1026 0.2580 0.7606
```

Output
Magnetic moment ... 32.00 Bohr magnetons per cell
V ... 1534 Å³ per cell
Total DFT energy (no corrections) ... -7.26 eV/atom